KZn2Cr: optimized geometry, PBE-GGA.

Values from the calculation:
**ΔE_f**: 0.32 eV/atom
**Energy above the most stable polymorph in this dataset**: 0.000 eV/atom

a b c (Å): 7.743 4.472 6.757
angles (deg): 90.00 113.11 90.00
Space group Cm (No. 8)
Inequivalent atoms, fractional coordinates:
K 0.000 0.000 0.000
Zn 0.317 0.500 0.465
Zn 0.496 0.000 0.501
Cr 0.174 0.000 0.534

=====

KZn2Cr: optimized geometry, PBE-GGA.

Values from the calculation:
**ΔE_f**: 0.61 eV/atom
**Energy above the most stable polymorph in this dataset**: 0.289 eV/atom

a b c (Å): 4.693 5.781 7.460
angles (deg): 90.00 90.00 90.00
Space group Immm (No. 71)
Inequivalent atoms, fractional coordinates:
K 0.000 0.000 0.000
Zn 0.000 0.500 0.189
Cr 0.000 0.000 0.500